[1]
The following is a DFT calculation (PBE) of a relaxed structure of Zr4Sc3.

calculated formation energy	-1	kJ/mol of atoms
theoretical density	5.00	Mg/m³
size of the total moment	0.000	μB/atom
polymorph energy (0 for the lowest one)	0	meV/atom

Cell lengths 5.151, 8.627, 8.627 Å; angles 120.00, 90.00, 90.00 degrees
Fractional coordinates of all 14 atoms:
Zr  0.250  0.484  0.099
Zr  0.750  0.516  0.901
Zr  0.250  0.333  0.667
Zr  0.750  0.099  0.615
Zr  0.250  0.615  0.516
Zr  0.750  0.385  0.484
Zr  0.250  0.901  0.385
Zr  0.750  0.667  0.333
Sc  0.750  0.242  0.048
Sc  0.250  0.758  0.952
Sc  0.250  0.048  0.806
Sc  0.750  0.806  0.758
Sc  0.250  0.194  0.242
Sc  0.750  0.952  0.194

=====

[2]
The following is a DFT calculation (PBE) of a relaxed structure of ZrSc3.

calculated formation energy	0	kJ/mol of atoms
theoretical density	3.89	Mg/m³
size of the total moment	0.196	μB/atom
polymorph energy (0 for the lowest one)	10	meV/atom

Cell lengths 3.287, 3.287, 10.326 Å; angles 90.00, 90.00, 120.00 degrees
Fractional coordinates of all 4 atoms:
Sc  0.000  0.000  0.995
Sc  0.000  0.000  0.505
Sc  0.333  0.667  0.250
Zr  0.333  0.667  0.750